VASP calculation (GGA-PBE) on a relaxed LiCaSc2Pt crystal.

Cell and atoms, written as POSCAR:
```
LiCaSc2Pt
1.0
-2.087 4.430 -1.486
-4.399 -0.910 3.466
2.468 2.427 3.769
Sc Ca Pt Li
2 1 1 1
Direct
0.000 0.000 0.500
0.500 0.000 0.000
0.000 0.500 0.000
0.000 0.000 0.000
0.500 0.500 0.500
```

Calculated values
Energy of formation from the pure elements: -0.271 eV/atom
E_tot: -23.973 eV/cell
Spin magnetization: 0.0000 μB/atom